## TlMoIrO6 (PBE+U)

Data for an optimized crystal structure of TlMoIrO6.

POSCAR file:
```
TlMoIrO6
1.0
5.0451 0.1402 0.0626
2.6408 4.5777 0.1244
0.0624 0.1098 5.1502
Tl Mo Ir O
1 1 1 6
Direct
0.0133 0.9934 0.0000
0.7095 0.6453 0.5000
0.3068 0.3466 0.5000
0.9910 0.3732 0.2470
0.3586 0.9898 0.7056
0.6355 0.3650 0.7049
0.9911 0.6357 0.7529
0.3585 0.6516 0.2943
0.6355 0.9995 0.2951
```

Calculated values
As for the space group: C2.



## TlMo2IrO8 (PBE+U)

Data for an optimized crystal structure of TlMo2IrO8.

POSCAR file:
```
TlMo2IrO8
1.0
-0.8956 5.0611 1.9534
-2.3418 0.2542 4.9683
7.1724 0.1793 3.7263
Tl Mo Ir O
1 2 1 8
Direct
0.0000 0.0000 0.5000
0.6368 0.6368 0.2020
0.3632 0.3632 0.7980
0.0000 0.0000 0.0000
0.7308 0.2148 0.8250
0.7902 0.7902 0.0580
0.6877 0.6877 0.4081
0.3123 0.3123 0.5919
0.2098 0.2098 0.9420
0.2148 0.7308 0.8250
0.7852 0.2692 0.1750
0.2692 0.7852 0.1750
```

Calculated values
As for the space group: C2/m.



## Mo2IrWO (PBE+U)

Data for an optimized crystal structure of Mo2IrWO.

POSCAR file:
```
Mo2IrWO
1.0
4.1308 0.0000 0.0000
0.0000 4.1614 0.0000
0.0000 0.0000 4.1308
Mo Ir O W
2 1 1 1
Direct
0.0000 0.0000 0.5000
0.5000 0.0000 0.0000
0.5000 0.5000 0.5000
0.0000 0.0000 0.0000
0.0000 0.5000 0.0000
```

Calculated values
As for the space group: P4/mmm.



Values of total energy, in order: -57.15, -80.54, -32.67, all in eV for the cell shown.